A relaxed YCoSn crystal. Source: the Alexandria database, functional GGA-PBEsol.

The structure belongs to space group Pnma (No. 62); the cell edges are 6.926, 4.381 and 7.592 Å and the angles 90.00°, 90.00° and 90.00°. The distinct sites, in fractional coordinates, are Y at (0.019, 0.250, 0.191), Co at (0.215, 0.750, 0.404) and Sn at (0.174, 0.250, 0.579).

As for the volume: 230.4 Å³/cell. For the energy, the calculation gives -6.8187 eV/atom. As for the formation energy: -546 meV/atom.